Record 1
7
Lattice="-4.251 -0.228 -2.824 5.399 -2.583 -3.298 -2.884 -5.931 4.820" Properties=species:S:1:pos:R:3 comment="Ba2Tl2Pb3 (PBE, relaxed)" dos_at_fermi_per_ev_atom=0.423 ef_ev_per_fu=-2.699 pbc="T T T"
Ba -1.333 -5.318 2.436
Ba -0.404 -3.424 -3.737
Tl 0.391 -2.254 -0.407
Tl -2.127 -6.488 -0.895
Pb 0.951 -5.492 -0.988
Pb -2.125 -0.114 -1.412
Pb -2.687 -3.250 -0.313


Record 2
4
Lattice="0.000 4.095 4.095 4.095 0.000 4.095 4.095 4.095 0.000" Properties=species:S:1:pos:R:3 comment="BaTl2Pb (PBE, relaxed)" dos_at_fermi_per_ev_atom=0.508 ef_ev_per_fu=-1.272 pbc="T T T"
Ba 0.000 0.000 0.000
Pb 4.095 4.095 4.095
Tl 6.143 6.143 6.143
Tl 2.048 2.048 2.048